## Ca7PN2 (PBE-GGA)

Data for a relaxed structure of Ca7PN2. Values from VASP.

Cell and atoms, written as Quantum ESPRESSO input:
```
&SYSTEM
  ibrav = 0, nat = 10, ntyp = 3
/
ATOMIC_SPECIES
N 14.01 N.upf
Ca 40.08 Ca.upf
P 30.97 P.upf
CELL_PARAMETERS angstrom
-1.695 1.060 4.022
3.976 -6.028 3.265
5.379 5.772 0.746
ATOMIC_POSITIONS angstrom
N 4.148 3.078 3.445
N 3.512 -2.274 4.588
Ca 3.830 0.402 4.016
Ca 7.241 1.909 5.057
Ca 6.861 -1.282 5.738
Ca 4.957 2.224 1.503
Ca 4.398 -2.481 2.507
Ca 0.798 2.086 2.295
Ca 0.419 -1.106 2.976
P 0.000 0.000 0.000
```

## Properties
As for the total DFT energy (no corrections): -4.0292 eV/atom. The value obtained for the theoretical density is 2.03 g/cm³. For the formation energy without anion corrections, the calculation gives -0.4221 eV/atom.